Sc2HOsRh | PBE-GGA | optimized geometry

The structure belongs to space group P4/mmm (No. 123); the cell edges are 4.4934, 4.4934 and 3.5004 Å and the angles 90.00°, 90.00° and 90.00°. The inequivalent atoms are Sc at (0.0000, 0.5000, 0.0000), H at (0.0000, 0.0000, 0.0000), Os at (0.0000, 0.0000, 0.5000) and Rh at (0.5000, 0.5000, 0.5000).

For the density of states at the Fermi level, the calculation gives 2.8 states/eV/cell. The value obtained for the calculated volume is 14.1 A^3/atom. For the energy above the lowest structure with this stoichiometry, the calculation gives 10.3 meV/atom. The value obtained for the density is 9.024 g/cm3. As for the total moment: 0.00 μB per cell.